Below is a relaxed Ac2ZnFeO6 crystal, with properties calculated at the PBE+U level.

Output
Its total energy is -6.782 eV per atom. The calculation puts the magnetic moment at 3.93 μB/cell.

```
data_Ac2ZnFeO6
_chemical_formula_sum 'Ac4 Zn2 Fe2 O12'
_symmetry_space_group_name_H-M 'P 1 21/c 1'
_symmetry_Int_Tables_number 14
_cell_length_a 5.709
_cell_length_b 5.632
_cell_length_c 9.727
_cell_angle_alpha 90.00
_cell_angle_beta 125.87
_cell_angle_gamma 90.00
loop_
_symmetry_equiv_pos_as_xyz
'x,y,z'
'-x,-y,-z'
'-x,y+1/2,-z+1/2'
'x,-y+1/2,z+1/2'
loop_
_atom_site_label
_atom_site_type_symbol
_atom_site_fract_x
_atom_site_fract_y
_atom_site_fract_z
Ac1 Ac 0.246 0.003 0.250
Zn1 Zn 0.500 0.000 0.000
Fe1 Fe 0.000 0.000 0.500
O1 O 0.209 0.246 0.470
O2 O 0.214 0.741 0.970
O3 O 0.293 0.000 0.738
```